Record 1
First-principles (PBE) data for a relaxed structure of Tb3TmRh, as listed in Alexandria via LeMat-Bulk.

Lattice parameters (Å, degrees): 5.413 5.413 5.413 90.00 90.00 90.00
Sites, in units of the cell vectors:
Tb (0.000, 0.000, 0.500)
Tb (0.000, 0.500, 0.000)
Tb (0.500, 0.000, 0.000)
Tm (0.500, 0.500, 0.500)
Rh (0.000, 0.000, 0.000)

Computed properties:
- ΔE_f: -0.18 eV/atom
- Density: 7.837 g cm⁻³
- Magnetic moment: 0.00 μB/atom
- Space group: Pm-3m
- Distance to the lowest polymorph of the same formula: 0.52 eV per formula unit



Record 2
First-principles (PBE) data for a relaxed structure of TbHfP2, as listed in Alexandria via LeMat-Bulk.

Lattice parameters (Å, degrees): 6.985 6.985 6.985 31.40 31.40 31.40
Sites, in units of the cell vectors:
Tb (0.000, 0.000, 0.000)
Hf (0.826, 0.826, 0.826)
P (0.238, 0.238, 0.238)
P (0.420, 0.420, 0.420)

Computed properties:
- ΔE_f: -1.34 eV/atom
- Density: 8.076 g cm⁻³
- Magnetic moment: 0.00 μB/atom
- Space group: R3m
- Distance to the lowest polymorph of the same formula: 0.44 eV per formula unit



Record 3
First-principles (PBE) data for a relaxed structure of As2PtIBr, as listed in Alexandria via LeMat-Bulk.

Lattice parameters (Å, degrees): 5.002 5.002 5.193 90.00 90.00 90.00
Sites, in units of the cell vectors:
As (0.000, 0.500, 0.000)
As (0.500, 0.000, 0.000)
Pt (0.000, 0.000, 0.000)
I (0.500, 0.500, 0.500)
Br (0.000, 0.000, 0.500)

Computed properties:
- Density: 7.050 g cm⁻³
- Magnetic moment: 0.00 μB/atom
- Space group: P4/mmm
- Distance to the lowest polymorph of the same formula: 0.00 eV per formula unit



Record 4
First-principles (PBE) data for a relaxed structure of CsPrScTe3, as listed in Alexandria via LeMat-Bulk.

Lattice parameters (Å, degrees): 10.385 4.755 11.184 90.00 110.25 90.00
Sites, in units of the cell vectors:
Cs (0.211, 0.250, 0.234)
Cs (0.789, 0.750, 0.766)
Pr (0.337, 0.750, 0.866)
Pr (0.663, 0.250, 0.134)
Sc (0.087, 0.250, 0.607)
Sc (0.913, 0.750, 0.393)
Te (0.119, 0.250, 0.865)
Te (0.202, 0.750, 0.546)
Te (0.470, 0.750, 0.166)
Te (0.530, 0.250, 0.834)
Te (0.798, 0.250, 0.454)
Te (0.881, 0.750, 0.135)

Computed properties:
- Density: 4.497 g cm⁻³
- Magnetic moment: 0.04 μB/atom
- VASP energy: -4.82 eV/atom
- Space group: P2_1/m



Record 5
First-principles (PBE) data for a relaxed structure of BaTc3Hg, as listed in Alexandria via LeMat-Bulk.

Lattice parameters (Å, degrees): 5.207 5.207 5.207 90.00 90.00 90.00
Sites, in units of the cell vectors:
Ba (0.000, 0.000, 0.000)
Tc (0.000, 0.500, 0.500)
Tc (0.500, 0.000, 0.500)
Tc (0.500, 0.500, 0.000)
Hg (0.500, 0.500, 0.500)

Computed properties:
- ΔE_f: 1.92 eV/atom
- Density: 7.433 g cm⁻³
- Magnetic moment: 1.77 μB/atom
- Space group: Pm-3m
- Distance to the lowest polymorph of the same formula: 0.00 eV per formula unit



Record 6
First-principles (PBE) data for a relaxed structure of LiMn2Te, as listed in Alexandria via LeMat-Bulk.

Lattice parameters (Å, degrees): 9.180 9.180 9.180 156.80 156.80 33.04
Sites, in units of the cell vectors:
Li (0.000, 0.000, 0.000)
Li (0.750, 0.250, 0.500)
Mn (0.038, 0.625, 0.913)
Mn (0.375, 0.288, 0.413)
Mn (0.712, 0.125, 0.087)
Mn (0.875, 0.962, 0.587)
Te (0.250, 0.750, 0.500)
Te (0.500, 0.500, 0.000)

Computed properties:
- Density: 6.767 g cm⁻³
- Magnetic moment: 0.01 μB/atom
- VASP energy: -5.36 eV/atom
- Space group: I-42d



Record 7
First-principles (PBE) data for a relaxed structure of MnSe2Cl, as listed in Alexandria via LeMat-Bulk.

Lattice parameters (Å, degrees): 6.087 6.087 5.612 102.62 102.62 32.96
Sites, in units of the cell vectors:
Mn (0.000, 0.000, 0.000)
Se (0.543, 0.543, 0.348)
Se (0.666, 0.666, 0.066)
Cl (0.374, 0.374, 0.749)

Computed properties:
- Density: 3.742 g cm⁻³
- Magnetic moment: 1.00 μB/atom
- Space group: Cm
- Distance to the lowest polymorph of the same formula: 0.25 eV per formula unit



Record 8
First-principles (PBE) data for a relaxed structure of CuC, as listed in Alexandria via LeMat-Bulk.

Lattice parameters (Å, degrees): 3.013 3.013 4.121 90.00 90.00 90.00
Sites, in units of the cell vectors:
Cu (0.250, 0.250, 0.232)
Cu (0.750, 0.750, 0.768)
C (0.250, 0.250, 0.719)
C (0.750, 0.750, 0.281)

Computed properties:
- ΔE_f: 1.70 eV/atom
- Density: 6.707 g cm⁻³
- Magnetic moment: 0.00 μB/atom
- Space group: P4/nmm
- Distance to the lowest polymorph of the same formula: 2.96 eV per formula unit



Record 9
First-principles (PBE) data for a relaxed structure of Ta2ZnCo, as listed in Alexandria via LeMat-Bulk.

Lattice parameters (Å, degrees): 5.093 5.093 5.093 136.81 136.81 62.73
Sites, in units of the cell vectors:
Ta (0.000, 0.000, 0.000)
Ta (0.750, 0.250, 0.500)
Zn (0.250, 0.750, 0.500)
Co (0.500, 0.500, 0.000)

Computed properties:
- ΔE_f: 0.09 eV/atom
- Density: 13.208 g cm⁻³
- Magnetic moment: 0.04 μB/atom
- Space group: I-4m2



Record 10
First-principles (PBE) data for a relaxed structure of BaBePS2, as listed in Alexandria via LeMat-Bulk.

Lattice parameters (Å, degrees): 6.075 6.075 6.447 90.00 90.00 90.00
Sites, in units of the cell vectors:
Ba (0.000, 0.000, 0.000)
Be (0.500, 0.500, 0.500)
P (0.000, 0.000, 0.500)
S (0.000, 0.500, 0.000)
S (0.500, 0.000, 0.000)

Computed properties:
- Density: 1.685 g cm⁻³
- Magnetic moment: 1.01 μB/atom
- Space group: P4/mmm
- Distance to the lowest polymorph of the same formula: 8.92 eV per formula unit



Record 11
First-principles (PBE) data for a relaxed structure of TlHg4N2, as listed in Alexandria via LeMat-Bulk.

Lattice parameters (Å, degrees): 3.556 3.611 17.300 90.00 91.89 90.00
Sites, in units of the cell vectors:
Tl (0.000, 0.000, 0.000)
Hg (0.040, 0.000, 0.262)
Hg (0.479, 0.500, 0.865)
Hg (0.521, 0.500, 0.135)
Hg (0.960, 0.000, 0.738)
N (0.072, 0.500, 0.529)
N (0.928, 0.500, 0.471)

Computed properties:
- Density: 7.740 g cm⁻³
- Magnetic moment: 0.00 μB/atom
- VASP energy: -2.86 eV/atom
- Space group: P2/m



Record 12
First-principles (PBE) data for a relaxed structure of Ce2Si4Ni3Rh, as listed in Alexandria via LeMat-Bulk.

Lattice parameters (Å, degrees): 4.022 4.022 9.704 90.00 90.00 90.00
Sites, in units of the cell vectors:
Ce (0.000, 0.500, 0.244)
Ce (0.500, 0.000, 0.756)
Si (0.000, 0.000, 0.000)
Si (0.000, 0.500, 0.637)
Si (0.500, 0.000, 0.363)
Si (0.500, 0.500, 0.000)
Ni (0.000, 0.500, 0.878)
Ni (0.500, 0.000, 0.122)
Ni (0.500, 0.500, 0.500)
Rh (0.000, 0.000, 0.500)

Computed properties:
- Density: 7.104 g cm⁻³
- Magnetic moment: 0.00 μB/atom
- VASP energy: -6.70 eV/atom
- Space group: P-4m2



Record 13
First-principles (PBE) data for a relaxed structure of TmTlH8Rh2, as listed in Alexandria via LeMat-Bulk.

Lattice parameters (Å, degrees): 9.048 9.048 9.048 25.84 25.84 25.84
Sites, in units of the cell vectors:
Tm (0.000, 0.000, 0.000)
Tl (0.500, 0.500, 0.500)
H (0.087, 0.521, 0.521)
H (0.190, 0.190, 0.190)
H (0.479, 0.479, 0.913)
H (0.479, 0.913, 0.479)
H (0.521, 0.087, 0.521)
H (0.521, 0.521, 0.087)
H (0.810, 0.810, 0.810)
H (0.913, 0.479, 0.479)
Rh (0.256, 0.256, 0.256)
Rh (0.744, 0.744, 0.744)

Computed properties:
- Density: 7.868 g cm⁻³
- Magnetic moment: 0.00 μB/atom
- VASP energy: -4.01 eV/atom
- Space group: R-3m